1.
## CaTaMo2P (GGA-PBE)

Data for CaTaMo2P after structural relaxation.

It has space group P4/mmm (No. 123), with a = 4.523 Å, b = 4.523 Å, c = 4.891 Å, α = 90.00°, β = 90.00° and γ = 90.00°. The inequivalent atoms are Ca at (0.000, 0.000, 0.000), Ta at (0.500, 0.500, 0.000), Mo at (0.000, 0.500, 0.500) and P at (0.000, 0.000, 0.500).

The density of states at the Fermi level is 1.12 states/eV/atom. The value obtained for the total energy is -7.43 eV/atom. The calculation puts the formation energy at 0.754 eV per atom.


2.
## Pu3Pa2Ge2 (GGA-PBE)

Data for Pu3Pa2Ge2 after structural relaxation.

It has space group C2/m (No. 12), with a = 9.678 Å, b = 4.766 Å, c = 6.938 Å, α = 90.00°, β = 117.05° and γ = 90.00°. The inequivalent atoms are Pu at (0.000, 0.000, 0.000), Pu at (0.004, 0.000, 0.668), Pa at (0.156, 0.500, 0.770) and Ge at (0.169, 0.500, 0.282).

The density of states at the Fermi level is 1.41 states/eV/atom. The value obtained for the total energy is -10.46 eV/atom. The calculation puts the formation energy at -0.287 eV per atom.


3.
## Sr2LaSi4 (GGA-PBE)

Data for Sr2LaSi4 after structural relaxation.

It has space group Immm (No. 71), with a = 4.019 Å, b = 4.622 Å, c = 18.652 Å, α = 90.00°, β = 90.00° and γ = 90.00°. The inequivalent atoms are Sr at (0.000, 0.000, 0.183), La at (0.000, 0.500, 0.500), Si at (0.000, 0.000, 0.365) and Si at (0.000, 0.500, 0.064).

Its formation energy (no corrections) is -0.54 eV per atom. The density of states at the Fermi level is 0.61 states/eV/atom. The value obtained for the total energy is -4.83 eV/atom.